Entry 1:
# MgAgOs2 SCAN single point on PBEsol structure
# energy relative to the elements = 209 kJ/mol of formula units
# D(E_F) = 0.82 states/eV/atom
# crystal system = tetragonal
data_MgAgOs2
_chemical_formula_sum 'Mg2 Ag2 Os4'
_cell_length_a 3.7057
_cell_length_b 3.7057
_cell_length_c 8.9126
_cell_angle_alpha 90.00
_cell_angle_beta 90.00
_cell_angle_gamma 90.00
_space_group_name_H-M_alt 'I 4/m m m'
_space_group_IT_number 139
_space_group_name_Hall '-I 4 2'
loop_
_atom_site_label
_atom_site_type_symbol
_atom_site_fract_x
_atom_site_fract_y
_atom_site_fract_z
Mg1 Mg 0.0000 0.0000 0.0000
Ag1 Ag 0.0000 0.0000 0.5000
Os1 Os 0.0000 0.5000 0.2500


Entry 2:
# Mg2AgP SCAN single point on PBEsol structure
# energy relative to the elements = 29 kJ/mol of formula units
# D(E_F) = 0.19 states/eV/atom
# crystal system = cubic
data_Mg2AgP
_chemical_formula_sum 'Mg8 Ag4 P4'
_cell_length_a 6.6315
_cell_length_b 6.6315
_cell_length_c 6.6315
_cell_angle_alpha 90.00
_cell_angle_beta 90.00
_cell_angle_gamma 90.00
_space_group_name_H-M_alt 'F -4 3 m'
_space_group_IT_number 216
_space_group_name_Hall 'F -4 2 3'
loop_
_atom_site_label
_atom_site_type_symbol
_atom_site_fract_x
_atom_site_fract_y
_atom_site_fract_z
Mg1 Mg 0.0000 0.0000 0.0000
Mg2 Mg 0.2500 0.2500 0.2500
Ag1 Ag 0.0000 0.0000 0.5000
P1 P 0.2500 0.2500 0.7500


Entry 3:
# MgAg2P SCAN single point on PBEsol structure
# ΔE to the lowest computed polymorph = 0.000 eV per atom
# energy relative to the elements = 15 kJ/mol of formula units
# D(E_F) = 0.41 states/eV/atom
# crystal system = cubic
data_MgAg2P
_chemical_formula_sum 'Mg4 Ag8 P4'
_cell_length_a 6.4793
_cell_length_b 6.4793
_cell_length_c 6.4793
_cell_angle_alpha 90.00
_cell_angle_beta 90.00
_cell_angle_gamma 90.00
_space_group_name_H-M_alt 'F -4 3 m'
_space_group_IT_number 216
_space_group_name_Hall 'F -4 2 3'
loop_
_atom_site_label
_atom_site_type_symbol
_atom_site_fract_x
_atom_site_fract_y
_atom_site_fract_z
Mg1 Mg 0.0000 0.0000 0.0000
Ag1 Ag 0.0000 0.0000 0.5000
Ag2 Ag 0.2500 0.2500 0.2500
P1 P 0.2500 0.2500 0.7500


Entry 4:
# MgAg2P SCAN single point on PBEsol structure
# ΔE to the lowest computed polymorph = 0.087 eV per atom
# energy relative to the elements = 49 kJ/mol of formula units
# D(E_F) = 0.56 states/eV/atom
# crystal system = cubic
data_MgAg2P
_chemical_formula_sum 'Mg4 Ag8 P4'
_cell_length_a 6.4705
_cell_length_b 6.4705
_cell_length_c 6.4705
_cell_angle_alpha 90.00
_cell_angle_beta 90.00
_cell_angle_gamma 90.00
_space_group_name_H-M_alt 'F m -3 m'
_space_group_IT_number 225
_space_group_name_Hall '-F 4 2 3'
loop_
_atom_site_label
_atom_site_type_symbol
_atom_site_fract_x
_atom_site_fract_y
_atom_site_fract_z
Mg1 Mg 0.0000 0.0000 0.0000
Ag1 Ag 0.2500 0.2500 0.2500
P1 P 0.0000 0.0000 0.5000


Entry 5:
# MgAgP2 SCAN single point on PBEsol structure
# energy relative to the elements = -18 kJ/mol of formula units
# D(E_F) = 0.15 states/eV/atom
# crystal system = monoclinic
data_MgAgP2
_chemical_formula_sum 'Mg2 Ag2 P4'
_cell_length_a 8.5805
_cell_length_b 3.3096
_cell_length_c 6.5308
_cell_angle_alpha 90.00
_cell_angle_beta 121.89
_cell_angle_gamma 90.00
_space_group_name_H-M_alt 'C 1 2/m 1'
_space_group_IT_number 12
_space_group_name_Hall '-C 2y'
loop_
_atom_site_label
_atom_site_type_symbol
_atom_site_fract_x
_atom_site_fract_y
_atom_site_fract_z
Mg1 Mg 0.0000 0.0000 0.0000
Ag1 Ag 0.0000 0.0000 0.5000
P1 P 0.1500 0.5000 0.8378


Entry 6:
# Mg2AgP SCAN single point on PBEsol structure
# energy relative to the elements = -111 kJ/mol of formula units
# D(E_F) = 0.21 states/eV/atom
# crystal system = orthorhombic
data_Mg2AgP
_chemical_formula_sum 'Mg2 Ag1 P1'
_cell_length_a 3.6299
_cell_length_b 4.3305
_cell_length_c 4.3685
_cell_angle_alpha 90.00
_cell_angle_beta 90.00
_cell_angle_gamma 90.00
_space_group_name_H-M_alt 'P m m 2'
_space_group_IT_number 25
_space_group_name_Hall 'P 2 -2'
loop_
_atom_site_label
_atom_site_type_symbol
_atom_site_fract_x
_atom_site_fract_y
_atom_site_fract_z
Mg1 Mg 0.0000 0.0000 0.0000
Mg2 Mg 0.0000 0.5000 0.4883
Ag1 Ag 0.5000 0.0000 0.5083
P1 P 0.5000 0.5000 0.9792